This record from Alexandria via LeMat-Bulk describes an optimized crystal structure of BaAlCrCuO5. The functional is PBE+U. Values from VASP.

Structure (Quantum ESPRESSO input):
```
&SYSTEM
  ibrav = 0, nat = 9, ntyp = 5
/
ATOMIC_SPECIES
Ba 137.33 Ba.upf
Al 26.98 Al.upf
Cr 52.00 Cr.upf
Cu 63.55 Cu.upf
O 16.00 O.upf
CELL_PARAMETERS angstrom
3.762 0.000 0.000
0.000 3.762 0.000
0.000 0.000 7.842
ATOMIC_POSITIONS crystal
Ba 0.000 0.000 0.000
Al 0.000 0.000 0.466
Cr 0.500 0.500 0.679
Cu 0.500 0.500 0.268
O 0.000 0.500 0.297
O 0.000 0.500 0.613
O 0.500 0.000 0.297
O 0.500 0.000 0.613
O 0.500 0.500 0.924
```

## Properties
raw total energy: -57.83 eV per formula unit
density of states at the Fermi level: 1.305 states/eV/cell
symmetry: No. 99
spin magnetization: 3.160 μB/f.u.